# 1
The following is a DFT calculation (GGA-PBE) of a geometry-optimized BiOs2O2 structure.

abc: 3.7860 3.7860 9.9114
angles: 90.00 90.00 90.00
Last column: nearest neighbours and their distance in Å.
Space group I4/mmm (No. 139)
One atom of each set of equivalent atoms:
Bi (0.0000, 0.0000, 0.0000) [2 per cell]  8 Os 2.94, 8 O 3.12
Os (0.0000, 0.0000, 0.3776) [4 per cell]  4 O 2.28, 1 Os 2.43
O (0.0000, 0.5000, 0.2500) [4 per cell]  4 Os 2.28

Excess energy over the best structure of this formula in the dataset = 247 kJ/mol of formula units
ΔE_f (raw) = 0.4100 eV per atom
VASP energy = -68.41 eV for the cell shown
Total magnetic moment = 0.00 μB per formula unit

# 2
The following is a DFT calculation (GGA-PBE) of a geometry-optimized Sm8Si3HSe4 structure.

abc: 8.2990 8.2990 20.5612
angles: 90.00 90.00 120.00
Last column: nearest neighbours and their distance in Å.
Space group R-3m (No. 166, hexagonal axes)
One atom of each set of equivalent atoms:
Sm (0.0000, 0.0000, 0.2465) [6 per cell]  3 Si 2.90, 3 Se 2.99
Sm (0.0061, 0.5030, 0.7533) [18 per cell]  2 Si 2.89, 1 H 2.94, 3 Se 2.95-3.00
Si (0.0000, 0.5000, 0.5000) [9 per cell]  6 Sm 2.89-2.90
H (0.0000, 0.0000, 0.5000) [3 per cell]  6 Sm 2.94
Se (0.0000, 0.0000, 0.0000) [3 per cell]  6 Sm 2.95
Se (0.0000, 0.5000, 0.0000) [9 per cell]  6 Sm 2.99-3.00

VASP energy = -273.56 eV for the cell shown
Total magnetic moment = 0.00 μB per formula unit

# 3
The following is a DFT calculation (GGA-PBE) of a geometry-optimized ScMnMo2 structure.

abc: 3.1161 3.1161 6.5150
angles: 90.00 90.00 90.00
Last column: nearest neighbours and their distance in Å.
Space group P4mm (No. 99)
One atom of each set of equivalent atoms:
Sc (0.0000, 0.0000, 0.0000) [1 per cell]  4 Mn 2.81, 5 Mo 2.88-3.11, 4 Sc 3.12
Mn (0.5000, 0.5000, 0.2680) [1 per cell]  4 Mo 2.59, 4 Sc 2.81
Mo (0.0000, 0.0000, 0.4779) [1 per cell]  4 Mn 2.59, 4 Mo 2.70
Mo (0.5000, 0.5000, 0.7165) [1 per cell]  4 Mo 2.70, 4 Sc 2.88, 1 Mn 2.92

Excess energy over the best structure of this formula in the dataset = 15 kJ/mol of formula units
Energy of formation from the pure elements = 0.36 eV per formula unit
VASP energy = -36.80 eV for the cell shown
Total magnetic moment = 0.53 μB per formula unit

Among the records above, which one has the highest VASP energy?
ScMnMo2

Which formula does entry 3 have?
ScMnMo2

Look up the VASP energy of the first one.
-68.41 eV for the cell shown

total magnetic moment of number 1 (BiOs2O2)?
0.00 μB per formula unit